Entry 1:
# RbZnHIrO (PBE-GGA, optimized geometry)
data_RbZnHIrO
_cell_length_a 3.050
_cell_length_b 3.665
_cell_length_c 14.184
_cell_angle_alpha 90.00
_cell_angle_beta 90.00
_cell_angle_gamma 90.00
_symmetry_space_group_name_H-M 'A m m 2'
_symmetry_Int_Tables_number 38
_symmetry_space_group_name_Hall 'A 2 -2'
loop_
_atom_site_label
_atom_site_fract_x
_atom_site_fract_y
_atom_site_fract_z
Rb1 0.000 0.000 0.000
Zn1 0.500 0.000 0.291
H1 0.000 0.000 0.191
Ir1 0.000 0.000 0.706
O1 0.500 0.000 0.607
# Calculated total energy = -4.153 eV per atom
# Total magnetic moment = 0.000 Bohr magnetons per cell
# Density = 7.5 Mg/m³
# Offset from the most stable computed form = 0.63 eV per formula unit
# DOS at the Fermi energy = 0.329 states/eV per atom

---

Entry 2:
# RbZnHIrO (PBE-GGA, optimized geometry)
data_RbZnHIrO
_cell_length_a 2.954
_cell_length_b 4.642
_cell_length_c 6.926
_cell_angle_alpha 76.85
_cell_angle_beta 79.48
_cell_angle_gamma 89.98
_symmetry_space_group_name_H-M 'P 1'
_symmetry_Int_Tables_number 1
_symmetry_space_group_name_Hall 'P 1'
loop_
_atom_site_label
_atom_site_fract_x
_atom_site_fract_y
_atom_site_fract_z
Rb1 0.000 0.000 0.000
Zn1 0.260 0.572 0.564
H1 0.879 0.430 0.282
Ir1 0.797 0.156 0.474
O1 0.354 0.953 0.341
# Calculated total energy = -4.077 eV per atom
# Total magnetic moment = 0.000 Bohr magnetons per cell
# Density = 6.6 Mg/m³
# Offset from the most stable computed form = 1.02 eV per formula unit
# DOS at the Fermi energy = 0.242 states/eV per atom

---

Entry 3:
# HIrRhO2 (PBE-GGA, optimized geometry)
data_HIrRhO2
_cell_length_a 3.985
_cell_length_b 3.985
_cell_length_c 3.443
_cell_angle_alpha 90.00
_cell_angle_beta 90.00
_cell_angle_gamma 90.00
_symmetry_space_group_name_H-M 'P 4/m m m'
_symmetry_Int_Tables_number 123
_symmetry_space_group_name_Hall '-P 4 2'
loop_
_atom_site_label
_atom_site_fract_x
_atom_site_fract_y
_atom_site_fract_z
H1 0.000 0.000 0.000
Ir1 0.000 0.000 0.500
Rh1 0.500 0.500 0.000
O1 0.000 0.500 0.500
# Calculated total energy = -5.533 eV per atom
# Total magnetic moment = 2.896 Bohr magnetons per cell
# Density = 10.0 Mg/m³
# DOS at the Fermi energy = 0.980 states/eV per atom

---

Entry 4:
# HIr2SO (PBE-GGA, optimized geometry)
data_HIr2SO
_cell_length_a 4.523
_cell_length_b 4.523
_cell_length_c 2.946
_cell_angle_alpha 90.00
_cell_angle_beta 90.00
_cell_angle_gamma 90.00
_symmetry_space_group_name_H-M 'P 4/m m m'
_symmetry_Int_Tables_number 123
_symmetry_space_group_name_Hall '-P 4 2'
loop_
_atom_site_label
_atom_site_fract_x
_atom_site_fract_y
_atom_site_fract_z
H1 0.000 0.000 0.000
Ir1 0.000 0.500 0.500
S1 0.000 0.000 0.500
O1 0.500 0.500 0.000
# Calculated total energy = -5.090 eV per atom
# Total magnetic moment = 0.638 Bohr magnetons per cell
# Density = 11.9 Mg/m³
# DOS at the Fermi energy = 1.164 states/eV per atom

---

Entry 5:
# HIrSe2O (PBE-GGA, optimized geometry)
data_HIrSe2O
_cell_length_a 4.813
_cell_length_b 4.813
_cell_length_c 3.295
_cell_angle_alpha 90.00
_cell_angle_beta 90.00
_cell_angle_gamma 90.00
_symmetry_space_group_name_H-M 'P 4/m m m'
_symmetry_Int_Tables_number 123
_symmetry_space_group_name_Hall '-P 4 2'
loop_
_atom_site_label
_atom_site_fract_x
_atom_site_fract_y
_atom_site_fract_z
H1 0.000 0.000 0.000
Ir1 0.000 0.000 0.500
Se1 0.000 0.500 0.500
O1 0.500 0.500 0.000
# Calculated total energy = -4.223 eV per atom
# Total magnetic moment = 0.000 Bohr magnetons per cell
# Density = 8.0 Mg/m³
# DOS at the Fermi energy = 0.853 states/eV per atom

---

Entry 6:
# Sr2HIrO (PBE-GGA, optimized geometry)
data_Sr2HIrO
_cell_length_a 5.455
_cell_length_b 5.455
_cell_length_c 3.458
_cell_angle_alpha 90.00
_cell_angle_beta 90.00
_cell_angle_gamma 90.00
_symmetry_space_group_name_H-M 'P 4/m m m'
_symmetry_Int_Tables_number 123
_symmetry_space_group_name_Hall '-P 4 2'
loop_
_atom_site_label
_atom_site_fract_x
_atom_site_fract_y
_atom_site_fract_z
Sr1 0.000 0.500 0.000
H1 0.000 0.000 0.500
Ir1 0.000 0.000 0.000
O1 0.500 0.500 0.500
# Calculated total energy = -4.537 eV per atom
# Total magnetic moment = 0.020 Bohr magnetons per cell
# Density = 6.2 Mg/m³
# DOS at the Fermi energy = 0.176 states/eV per atom

---

Entry 7:
# Sr2H2IrO6 (PBE-GGA, optimized geometry)
data_Sr2H2IrO6
_cell_length_a 5.2130
_cell_length_b 5.2130
_cell_length_c 15.2757
_cell_angle_alpha 90.00
_cell_angle_beta 90.00
_cell_angle_gamma 120.00
_symmetry_space_group_name_H-M 'R -3 m'
_symmetry_Int_Tables_number 166
_symmetry_space_group_name_Hall '-R 3 2"'
loop_
_atom_site_label
_atom_site_fract_x
_atom_site_fract_y
_atom_site_fract_z
Sr1 0.0000 0.0000 0.2296
H1 0.0000 0.0000 0.4061
Ir1 0.0000 0.0000 0.0000
O1 0.0134 0.5067 0.2560
# Calculated total energy = -5.809 eV per atom
# Total magnetic moment = 3.158 Bohr magnetons per cell
# Density = 6.5 Mg/m³
# DOS at the Fermi energy = 0.542 states/eV per atom

---

Entry 8:
# Tl2HIrO6 (PBE-GGA, optimized geometry)
data_Tl2HIrO6
_cell_length_a 4.833
_cell_length_b 5.814
_cell_length_c 5.830
_cell_angle_alpha 113.31
_cell_angle_beta 113.51
_cell_angle_gamma 96.86
_symmetry_space_group_name_H-M 'P 1'
_symmetry_Int_Tables_number 1
_symmetry_space_group_name_Hall 'P 1'
loop_
_atom_site_label
_atom_site_fract_x
_atom_site_fract_y
_atom_site_fract_z
Tl1 0.000 0.000 0.000
Tl2 0.462 0.360 0.778
H1 0.618 0.915 0.308
Ir1 0.228 0.666 0.389
O1 0.033 0.377 0.418
O2 0.134 0.402 0.017
O3 0.317 0.956 0.755
O4 0.444 0.963 0.351
O5 0.623 0.626 0.592
O6 0.841 0.738 0.196
# Calculated total energy = -5.359 eV per atom
# Total magnetic moment = 0.000 Bohr magnetons per cell
# Density = 8.9 Mg/m³
# DOS at the Fermi energy = 0.438 states/eV per atom

---

Entry 9:
# HIrOs2 (PBE-GGA, optimized geometry)
data_HIrOs2
_cell_length_a 5.910
_cell_length_b 5.910
_cell_length_c 5.910
_cell_angle_alpha 90.00
_cell_angle_beta 90.00
_cell_angle_gamma 90.00
_symmetry_space_group_name_H-M 'F m -3 m'
_symmetry_Int_Tables_number 225
_symmetry_space_group_name_Hall '-F 4 2 3'
loop_
_atom_site_label
_atom_site_fract_x
_atom_site_fract_y
_atom_site_fract_z
H1 0.000 0.000 0.000
Ir1 0.000 0.000 0.500
Os1 0.250 0.250 0.250
# Calculated total energy = -7.722 eV per atom
# Total magnetic moment = 0.000 Bohr magnetons per cell
# Density = 18.5 Mg/m³
# Offset from the most stable computed form = 1.91 eV per formula unit
# DOS at the Fermi energy = 1.465 states/eV per atom

---

Entry 10:
# HIrOs2 (PBE-GGA, optimized geometry)
data_HIrOs2
_cell_length_a 6.085
_cell_length_b 6.085
_cell_length_c 5.142
_cell_angle_alpha 90.00
_cell_angle_beta 90.00
_cell_angle_gamma 90.00
_symmetry_space_group_name_H-M 'I -4 2 d'
_symmetry_Int_Tables_number 122
_symmetry_space_group_name_Hall 'I -4 2bw'
loop_
_atom_site_label
_atom_site_fract_x
_atom_site_fract_y
_atom_site_fract_z
H1 0.000 0.000 0.000
Ir1 0.000 0.000 0.500
Os1 0.153 0.250 0.125
# Calculated total energy = -8.199 eV per atom
# Total magnetic moment = 0.000 Bohr magnetons per cell
# Density = 20.0 Mg/m³
# Offset from the most stable computed form = 0.00 eV per formula unit
# DOS at the Fermi energy = 1.024 states/eV per atom

---

Entry 11:
# H3IrOs (PBE-GGA, optimized geometry)
data_H3IrOs
_cell_length_a 3.430
_cell_length_b 3.430
_cell_length_c 3.430
_cell_angle_alpha 90.00
_cell_angle_beta 90.00
_cell_angle_gamma 90.00
_symmetry_space_group_name_H-M 'P m -3 m'
_symmetry_Int_Tables_number 221
_symmetry_space_group_name_Hall '-P 4 2 3'
loop_
_atom_site_label
_atom_site_fract_x
_atom_site_fract_y
_atom_site_fract_z
H1 0.000 0.000 0.500
Ir1 0.000 0.000 0.000
Os1 0.500 0.500 0.500
# Calculated total energy = -5.276 eV per atom
# Total magnetic moment = 0.867 Bohr magnetons per cell
# Density = 15.9 Mg/m³
# Offset from the most stable computed form = 0.13 eV per formula unit
# DOS at the Fermi energy = 0.450 states/eV per atom

---

Entry 12:
# H3IrOs (PBE-GGA, optimized geometry)
data_H3IrOs
_cell_length_a 3.426
_cell_length_b 3.426
_cell_length_c 3.426
_cell_angle_alpha 90.00
_cell_angle_beta 90.00
_cell_angle_gamma 90.00
_symmetry_space_group_name_H-M 'P m -3 m'
_symmetry_Int_Tables_number 221
_symmetry_space_group_name_Hall '-P 4 2 3'
loop_
_atom_site_label
_atom_site_fract_x
_atom_site_fract_y
_atom_site_fract_z
H1 0.000 0.000 0.500
Ir1 0.500 0.500 0.500
Os1 0.000 0.000 0.000
# Calculated total energy = -5.303 eV per atom
# Total magnetic moment = 0.000 Bohr magnetons per cell
# Density = 15.9 Mg/m³
# Offset from the most stable computed form = 0.00 eV per formula unit
# DOS at the Fermi energy = 0.385 states/eV per atom

---

Entry 13:
# HIrOs3 (PBE-GGA, optimized geometry)
data_HIrOs3
_cell_length_a 3.908
_cell_length_b 3.908
_cell_length_c 3.908
_cell_angle_alpha 90.00
_cell_angle_beta 90.00
_cell_angle_gamma 90.00
_symmetry_space_group_name_H-M 'P m -3 m'
_symmetry_Int_Tables_number 221
_symmetry_space_group_name_Hall '-P 4 2 3'
loop_
_atom_site_label
_atom_site_fract_x
_atom_site_fract_y
_atom_site_fract_z
H1 0.000 0.000 0.000
Ir1 0.500 0.500 0.500
Os1 0.000 0.000 0.500
# Calculated total energy = -8.937 eV per atom
# Total magnetic moment = 0.000 Bohr magnetons per cell
# Density = 21.3 Mg/m³
# Offset from the most stable computed form = 0.00 eV per formula unit
# DOS at the Fermi energy = 0.640 states/eV per atom

---

Entry 14:
# HIrOs3 (PBE-GGA, optimized geometry)
data_HIrOs3
_cell_length_a 4.751
_cell_length_b 4.751
_cell_length_c 4.751
_cell_angle_alpha 90.00
_cell_angle_beta 90.00
_cell_angle_gamma 90.00
_symmetry_space_group_name_H-M 'P m -3 m'
_symmetry_Int_Tables_number 221
_symmetry_space_group_name_Hall '-P 4 2 3'
loop_
_atom_site_label
_atom_site_fract_x
_atom_site_fract_y
_atom_site_fract_z
H1 0.000 0.000 0.000
Ir1 0.500 0.500 0.500
Os1 0.000 0.500 0.500
# Calculated total energy = -6.165 eV per atom
# Total magnetic moment = 3.624 Bohr magnetons per cell
# Density = 11.8 Mg/m³
# Offset from the most stable computed form = 13.86 eV per formula unit
# DOS at the Fermi energy = 1.526 states/eV per atom

---

Entry 15:
# HIr3Os (PBE-GGA, optimized geometry)
data_HIr3Os
_cell_length_a 3.926
_cell_length_b 3.926
_cell_length_c 3.926
_cell_angle_alpha 90.00
_cell_angle_beta 90.00
_cell_angle_gamma 90.00
_symmetry_space_group_name_H-M 'P m -3 m'
_symmetry_Int_Tables_number 221
_symmetry_space_group_name_Hall '-P 4 2 3'
loop_
_atom_site_label
_atom_site_fract_x
_atom_site_fract_y
_atom_site_fract_z
H1 0.000 0.000 0.000
Ir1 0.000 0.000 0.500
Os1 0.500 0.500 0.500
# Calculated total energy = -7.972 eV per atom
# Total magnetic moment = 0.000 Bohr magnetons per cell
# Density = 21.1 Mg/m³
# Offset from the most stable computed form = 0.00 eV per formula unit
# DOS at the Fermi energy = 0.867 states/eV per atom

---

Entry 16:
# HIr3Os (PBE-GGA, optimized geometry)
data_HIr3Os
_cell_length_a 4.748
_cell_length_b 4.748
_cell_length_c 4.748
_cell_angle_alpha 90.00
_cell_angle_beta 90.00
_cell_angle_gamma 90.00
_symmetry_space_group_name_H-M 'P m -3 m'
_symmetry_Int_Tables_number 221
_symmetry_space_group_name_Hall '-P 4 2 3'
loop_
_atom_site_label
_atom_site_fract_x
_atom_site_fract_y
_atom_site_fract_z
H1 0.000 0.000 0.000
Ir1 0.000 0.500 0.500
Os1 0.500 0.500 0.500
# Calculated total energy = -5.872 eV per atom
# Total magnetic moment = 0.962 Bohr magnetons per cell
# Density = 11.9 Mg/m³
# Offset from the most stable computed form = 10.50 eV per formula unit
# DOS at the Fermi energy = 1.016 states/eV per atom

---

Entry 17:
# ReH2IrOs (PBE-GGA, optimized geometry)
data_ReH2IrOs
_cell_length_a 3.516
_cell_length_b 3.516
_cell_length_c 5.151
_cell_angle_alpha 90.00
_cell_angle_beta 90.00
_cell_angle_gamma 90.00
_symmetry_space_group_name_H-M 'P 4/m m m'
_symmetry_Int_Tables_number 123
_symmetry_space_group_name_Hall '-P 4 2'
loop_
_atom_site_label
_atom_site_fract_x
_atom_site_fract_y
_atom_site_fract_z
Re1 0.000 0.000 0.000
H1 0.000 0.500 0.500
Ir1 0.000 0.000 0.500
Os1 0.500 0.500 0.000
# Calculated total energy = -6.822 eV per atom
# Total magnetic moment = 0.609 Bohr magnetons per cell
# Density = 14.9 Mg/m³
# DOS at the Fermi energy = 0.628 states/eV per atom

---

Entry 18:
# HIrOsRu2 (PBE-GGA, optimized geometry)
data_HIrOsRu2
_cell_length_a 3.896
_cell_length_b 3.896
_cell_length_c 3.881
_cell_angle_alpha 90.00
_cell_angle_beta 90.00
_cell_angle_gamma 90.00
_symmetry_space_group_name_H-M 'P 4/m m m'
_symmetry_Int_Tables_number 123
_symmetry_space_group_name_Hall '-P 4 2'
loop_
_atom_site_label
_atom_site_fract_x
_atom_site_fract_y
_atom_site_fract_z
H1 0.000 0.000 0.000
Ir1 0.000 0.000 0.500
Os1 0.500 0.500 0.500
Ru1 0.000 0.500 0.000
# Calculated total energy = -8.252 eV per atom
# Total magnetic moment = 0.000 Bohr magnetons per cell
# Density = 16.5 Mg/m³
# Offset from the most stable computed form = 0.07 eV per formula unit
# DOS at the Fermi energy = 1.219 states/eV per atom

---

Entry 19:
# HIrOsRu2 (PBE-GGA, optimized geometry)
data_HIrOsRu2
_cell_length_a 3.887
_cell_length_b 3.887
_cell_length_c 3.896
_cell_angle_alpha 90.00
_cell_angle_beta 90.00
_cell_angle_gamma 90.00
_symmetry_space_group_name_H-M 'P 4/m m m'
_symmetry_Int_Tables_number 123
_symmetry_space_group_name_Hall '-P 4 2'
loop_
_atom_site_label
_atom_site_fract_x
_atom_site_fract_y
_atom_site_fract_z
H1 0.000 0.000 0.000
Ir1 0.500 0.500 0.500
Os1 0.000 0.000 0.500
Ru1 0.000 0.500 0.000
# Calculated total energy = -8.266 eV per atom
# Total magnetic moment = 0.000 Bohr magnetons per cell
# Density = 16.5 Mg/m³
# Offset from the most stable computed form = 0.00 eV per formula unit
# DOS at the Fermi energy = 1.250 states/eV per atom

---

Entry 20:
# Sc2HIrOs (PBE-GGA, optimized geometry)
data_Sc2HIrOs
_cell_length_a 4.485
_cell_length_b 4.485
_cell_length_c 3.494
_cell_angle_alpha 90.00
_cell_angle_beta 90.00
_cell_angle_gamma 90.00
_symmetry_space_group_name_H-M 'P 4/m m m'
_symmetry_Int_Tables_number 123
_symmetry_space_group_name_Hall '-P 4 2'
loop_
_atom_site_label
_atom_site_fract_x
_atom_site_fract_y
_atom_site_fract_z
Sc1 0.000 0.500 0.000
H1 0.000 0.000 0.000
Ir1 0.500 0.500 0.500
Os1 0.000 0.000 0.500
# Calculated total energy = -7.817 eV per atom
# Total magnetic moment = 0.000 Bohr magnetons per cell
# Density = 11.2 Mg/m³
# DOS at the Fermi energy = 0.551 states/eV per atom